Record 1
Material: Y4BiAuSe2
Method: DFT, PBE
State: optimized geometry

CIF file:
```
data_Y4BiAuSe2
_chemical_formula_sum 'Y4 Bi1 Au1 Se2'
_space_group_name_H-M_alt 'P 1'
_space_group_IT_number 1
_cell_length_a 4.146
_cell_length_b 7.578
_cell_length_c 7.138
_cell_angle_alpha 71.67
_cell_angle_beta 90.00
_cell_angle_gamma 90.00
loop_
_space_group_symop_operation_xyz
'x,y,z'
loop_
_atom_site_label
_atom_site_type_symbol
_atom_site_fract_x
_atom_site_fract_y
_atom_site_fract_z
_atom_site_occupancy
Au1 Au 0.000 0.500 0.500 1
Bi1 Bi 0.500 0.500 0.000 1
Se1 Se 0.500 0.000 0.500 1
Se2 Se 0.000 0.000 0.000 1
Y1 Y 0.500 0.760 0.258 1
Y2 Y 0.000 0.766 0.736 1
Y3 Y 0.000 0.234 0.264 1
Y4 Y 0.500 0.240 0.742 1
```

## Properties
Formation energy without anion corrections   -1276 meV/atom

Record 2
Material: AlCrS2Cl
Method: DFT, PBE
State: optimized geometry

CIF file:
```
data_AlCrS2Cl
_chemical_formula_sum 'Al1 Cr1 S2 Cl1'
_space_group_name_H-M_alt 'P 1'
_space_group_IT_number 1
_cell_length_a 4.687
_cell_length_b 4.687
_cell_length_c 4.555
_cell_angle_alpha 90.00
_cell_angle_beta 90.00
_cell_angle_gamma 90.00
loop_
_space_group_symop_operation_xyz
'x,y,z'
loop_
_atom_site_label
_atom_site_type_symbol
_atom_site_fract_x
_atom_site_fract_y
_atom_site_fract_z
_atom_site_occupancy
Cl1 Cl 0.000 0.000 0.500 1
Cr1 Cr 0.500 0.500 0.500 1
S1 S 0.500 0.000 0.000 1
S2 S 0.000 0.500 0.000 1
Al1 Al 0.000 0.000 0.000 1
```

## Properties
Formation energy without anion corrections   -154 meV/atom
Energy above the most stable polymorph in this dataset   0.0 meV/atom

Record 3
Material: Sm5Tl4Ga
Method: DFT, PBE
State: optimized geometry

CIF file:
```
data_Sm5Tl4Ga
_chemical_formula_sum 'Sm5 Tl4 Ga1'
_space_group_name_H-M_alt 'P 1'
_space_group_IT_number 1
_cell_length_a 3.753
_cell_length_b 3.753
_cell_length_c 19.816
_cell_angle_alpha 90.00
_cell_angle_beta 90.00
_cell_angle_gamma 90.00
loop_
_space_group_symop_operation_xyz
'x,y,z'
loop_
_atom_site_label
_atom_site_type_symbol
_atom_site_fract_x
_atom_site_fract_y
_atom_site_fract_z
_atom_site_occupancy
Sm1 Sm 0.500 0.500 0.706 1
Sm2 Sm 0.500 0.500 0.500 1
Sm3 Sm 0.500 0.500 0.294 1
Sm4 Sm 0.500 0.500 0.089 1
Sm5 Sm 0.500 0.500 0.911 1
Tl1 Tl 0.000 0.000 0.397 1
Tl2 Tl 0.000 0.000 0.603 1
Tl3 Tl 0.000 0.000 0.808 1
Tl4 Tl 0.000 0.000 0.192 1
Ga1 Ga 0.000 0.000 0.000 1
```

## Properties
Formation energy   -0.4152 eV per atom

Record 4
Material: Rb2NF7
Method: DFT, PBE
State: optimized geometry

CIF file:
```
data_Rb2NF7
_chemical_formula_sum 'Rb2 N1 F7'
_space_group_name_H-M_alt 'P 1'
_space_group_IT_number 1
_cell_length_a 5.972
_cell_length_b 5.972
_cell_length_c 5.977
_cell_angle_alpha 60.02
_cell_angle_beta 60.02
_cell_angle_gamma 90.00
loop_
_space_group_symop_operation_xyz
'x,y,z'
loop_
_atom_site_label
_atom_site_type_symbol
_atom_site_fract_x
_atom_site_fract_y
_atom_site_fract_z
_atom_site_occupancy
N1 N 0.500 0.500 0.000 1
F1 F 0.696 0.696 0.000 1
F2 F 0.696 0.304 0.000 1
F3 F 0.304 0.696 0.000 1
F4 F 0.696 0.696 0.608 1
F5 F 0.304 0.304 0.000 1
F6 F 0.304 0.304 0.392 1
F7 F 0.000 0.000 0.000 1
Rb1 Rb 0.750 0.250 0.500 1
Rb2 Rb 0.250 0.750 0.500 1
```

## Properties
Formation energy without anion corrections   -1105 meV/atom
Energy above the most stable polymorph in this dataset   152.4 meV/atom

What did the third record say?
Material: Sm5Tl4Ga
Method: DFT, PBE
State: optimized geometry

CIF file:
```
data_Sm5Tl4Ga
_chemical_formula_sum 'Sm5 Tl4 Ga1'
_space_group_name_H-M_alt 'P 1'
_space_group_IT_number 1
_cell_length_a 3.753
_cell_length_b 3.753
_cell_length_c 19.816
_cell_angle_alpha 90.00
_cell_angle_beta 90.00
_cell_angle_gamma 90.00
loop_
_space_group_symop_operation_xyz
'x,y,z'
loop_
_atom_site_label
_atom_site_type_symbol
_atom_site_fract_x
_atom_site_fract_y
_atom_site_fract_z
_atom_site_occupancy
Sm1 Sm 0.500 0.500 0.706 1
Sm2 Sm 0.500 0.500 0.500 1
Sm3 Sm 0.500 0.500 0.294 1
Sm4 Sm 0.500 0.500 0.089 1
Sm5 Sm 0.500 0.500 0.911 1
Tl1 Tl 0.000 0.000 0.397 1
Tl2 Tl 0.000 0.000 0.603 1
Tl3 Tl 0.000 0.000 0.808 1
Tl4 Tl 0.000 0.000 0.192 1
Ga1 Ga 0.000 0.000 0.000 1
```

## Properties
Formation energy   -0.4152 eV per atom